Entry 1:
Here is a geometry-optimized VAgTe2O8 structure from Alexandria via LeMat-Bulk. Energies are from PBE with a Hubbard U.

a b c (Å): 4.7563 6.6698 4.7588
angles (deg): 90.00 91.63 90.00
Closest atoms and distances in Å follow each position.
Space group P2/m (No. 10)
Inequivalent atoms, fractional coordinates:
V 0.0000 0.0000 0.0000 (multiplicity 1)  6 O 1.96-2.01
Ag 0.0000 0.5000 0.0000 (multiplicity 1)  6 O 2.19-2.30
Te 0.5000 0.2461 0.5000 (multiplicity 2)  6 O 2.01-2.16
O 0.1988 0.2172 0.1974 (multiplicity 4)  1 V 1.96, 1 Te 2.01
O 0.2937 0.0000 0.7049 (multiplicity 2)  1 V 2.01, 2 Te 2.16
O 0.3196 0.5000 0.6791 (multiplicity 2)  2 Te 2.09, 1 Ag 2.19

Its energy is -67.63 eV per cell. The value obtained for the spin magnetization is 0.4 Bohr magnetons per cell.



Entry 2:
Here is a geometry-optimized VAgTeO6 structure from Alexandria via LeMat-Bulk. Energies are from PBE with a Hubbard U.

a b c (Å): 5.1772 5.1772 10.3580
angles (deg): 90.00 90.00 120.00
Closest atoms and distances in Å follow each position.
Space group P-31c (No. 163)
Inequivalent atoms, fractional coordinates:
V 0.3333 0.6667 0.2500 (multiplicity 2)  6 O 1.92
Ag 0.0000 0.0000 0.0000 (multiplicity 2)  6 O 2.49
Te 0.3333 0.6667 0.7500 (multiplicity 2)  6 O 1.96
O 0.0067 0.3860 0.1458 (multiplicity 12)  1 V 1.92, 1 Te 1.96

Its energy is -106.28 eV per cell. The value obtained for the spin magnetization is 0.0 Bohr magnetons per cell.



Entry 3:
Here is a geometry-optimized V2AgTeO8 structure from Alexandria via LeMat-Bulk. Energies are from PBE with a Hubbard U.

a b c (Å): 5.5873 5.5873 6.8061
angles (deg): 90.00 90.00 120.00
Closest atoms and distances in Å follow each position.
Space group P-3 (No. 147)
Inequivalent atoms, fractional coordinates:
V 0.3333 0.6667 0.2606 (multiplicity 2)  4 O 1.63-1.80
Ag 0.0000 0.0000 0.5000 (multiplicity 1)  6 O 2.70
Te 0.0000 0.0000 0.0000 (multiplicity 1)  6 O 2.02
O 0.0887 0.3216 0.1805 (multiplicity 6)  1 V 1.80
O 0.3333 0.6667 0.5004 (multiplicity 2)  1 V 1.63

Its energy is -75.50 eV per cell. The value obtained for the spin magnetization is 0.7 Bohr magnetons per cell.



Entry 4:
Here is a geometry-optimized VAgTeO5 structure from Alexandria via LeMat-Bulk. Energies are from PBE with a Hubbard U.

a b c (Å): 5.7945 12.1277 6.9047
angles (deg): 90.00 101.69 90.00
Closest atoms and distances in Å follow each position.
Space group P2_1/c (No. 14)
Inequivalent atoms, fractional coordinates:
V 0.1694 0.1253 0.4160 (multiplicity 4)  4 O 1.69-1.85
Ag 0.3161 0.7281 0.8014 (multiplicity 4)  4 O 2.36-2.54
Te 0.2536 0.0561 0.8989 (multiplicity 4)  4 O 1.94-2.14
O 0.0583 0.6920 0.0176 (multiplicity 4)  1 V 1.69
O 0.0623 0.0296 0.2171 (multiplicity 4)  1 V 1.81
O 0.3319 0.0517 0.6369 (multiplicity 4)  1 V 1.85, 1 Te 1.95
O 0.3503 0.2182 0.3382 (multiplicity 4)  1 V 1.70
O 0.3825 0.5885 0.4806 (multiplicity 4)  2 Te 1.94-2.14

Its energy is -191.55 eV per cell. The value obtained for the spin magnetization is 0.0 Bohr magnetons per cell.



Entry 5:
Here is a geometry-optimized VAgTeO5 structure from Alexandria via LeMat-Bulk. Energies are from PBE with a Hubbard U.

a b c (Å): 7.6727 9.0826 7.9470
angles (deg): 90.00 115.47 90.00
Closest atoms and distances in Å follow each position.
Space group C2/c (No. 15)
Inequivalent atoms, fractional coordinates:
V 0.0000 0.1621 0.2500 (multiplicity 4)  4 O 1.75-1.76
Ag 0.0000 0.1752 0.7500 (multiplicity 4)  3 O 2.23-2.49
Te 0.0000 0.5000 0.0000 (multiplicity 4)  6 O 2.11-2.19
O 0.0000 0.4210 0.7500 (multiplicity 4)  2 Te 2.11, 1 Ag 2.23
O 0.0746 0.2778 0.1177 (multiplicity 8)  1 V 1.75
O 0.1922 0.0493 0.3971 (multiplicity 8)  1 V 1.76

Its energy is -189.62 eV per cell. The value obtained for the spin magnetization is 0.0 Bohr magnetons per cell.



Entry 6:
Here is a geometry-optimized AgTe2WO8 structure from Alexandria via LeMat-Bulk. Energies are from PBE with a Hubbard U.

a b c (Å): 5.0582 5.0667 7.1501
angles (deg): 80.09 81.61 84.80
Closest atoms and distances in Å follow each position.
Space group P-1 (No. 2)
Inequivalent atoms, fractional coordinates:
Ag 0.0000 0.0000 0.0000 (multiplicity 1)  4 O 2.15
Te 0.4896 0.5219 0.7541 (multiplicity 2)  3 O 1.92-1.97
W 0.0000 0.0000 0.5000 (multiplicity 1)  6 O 1.89-1.99
O 0.0842 0.1627 0.7006 (multiplicity 2)  1 W 1.89
O 0.2634 0.1979 0.3048 (multiplicity 2)  1 Te 1.93, 1 W 1.99
O 0.2773 0.7009 0.5524 (multiplicity 2)  1 Te 1.97, 1 W 1.99
O 0.2835 0.6633 0.9657 (multiplicity 2)  1 Te 1.92

Its energy is -69.53 eV per cell. The value obtained for the spin magnetization is 0.0 Bohr magnetons per cell.